# 1
The following is a DFT calculation (PBE) of a geometry-optimized CsSb2I2 structure.

Unit cell a=6.618 b=6.618 c=10.439 alpha=90.00 beta=90.00 gamma=90.00
Space group I4/mmm (No. 139)
One atom of each set of equivalent atoms:
Cs: 0.000 0.000 0.000 (multiplicity 2)
Sb: 0.000 0.000 0.374 (multiplicity 4)
I: 0.000 0.500 0.250 (multiplicity 4)

## Properties
uncorrected formation energy = -1.45 eV/f.u.
E = -2.730 eV/atom

# 2
The following is a DFT calculation (PBE) of a geometry-optimized YBe2Pt3 structure.

Unit cell a=9.1105 b=9.1105 c=3.8698 alpha=90.00 beta=90.00 gamma=120.00
Space group P6/mmm (No. 191)
One atom of each set of equivalent atoms:
Y: 0.0000 0.0000 0.0000 (multiplicity 1)
Y: 0.3333 0.6667 0.5000 (multiplicity 2)
Be: 0.1823 0.3646 0.0000 (multiplicity 6)
Pt: 0.0000 0.2920 0.5000 (multiplicity 6)
Pt: 0.0000 0.5000 0.0000 (multiplicity 3)

## Properties
formation energy = -4.79 eV per formula unit
E = -6.139 eV/atom

# 3
The following is a DFT calculation (PBE) of a geometry-optimized Co2Ag2Te structure.

Unit cell a=6.310 b=6.310 c=4.269 alpha=90.00 beta=90.00 gamma=90.00
Space group P4/mbm (No. 127)
One atom of each set of equivalent atoms:
Co: 0.129 0.371 0.000 (multiplicity 4)
Ag: 0.163 0.663 0.500 (multiplicity 4)
Te: 0.000 0.000 0.000 (multiplicity 2)

## Properties
uncorrected formation energy = 1.58 eV/f.u.
E = -4.294 eV/atom

# 4
The following is a DFT calculation (PBE) of a geometry-optimized LiPaAlRe structure.

Unit cell a=6.556 b=6.556 c=6.556 alpha=90.00 beta=90.00 gamma=90.00
Space group F-43m (No. 216)
One atom of each set of equivalent atoms:
Li: 0.000 0.000 0.000 (multiplicity 4)
Pa: 0.250 0.250 0.250 (multiplicity 4)
Al: 0.250 0.250 0.750 (multiplicity 4)
Re: 0.000 0.000 0.500 (multiplicity 4)

## Properties
formation energy = -0.18 eV per formula unit
E = -6.945 eV/atom

# 5
The following is a DFT calculation (PBE) of a geometry-optimized TaCu2Pt structure.

Unit cell a=3.930 b=3.930 c=7.429 alpha=90.00 beta=90.00 gamma=90.00
Space group I4/mmm (No. 139)
One atom of each set of equivalent atoms:
Ta: 0.000 0.000 0.000 (multiplicity 2)
Cu: 0.000 0.500 0.250 (multiplicity 4)
Pt: 0.000 0.000 0.500 (multiplicity 2)

## Properties
formation energy = -0.72 eV per formula unit
E = -6.701 eV/atom

# 6
The following is a DFT calculation (PBE) of a geometry-optimized B3W4 structure.

Unit cell a=11.418 b=3.096 c=4.729 alpha=90.00 beta=100.77 gamma=90.00
Space group C2/m (No. 12)
One atom of each set of equivalent atoms:
B: 0.000 0.000 0.000 (multiplicity 2)
B: 0.235 0.000 0.395 (multiplicity 4)
W: 0.076 0.500 0.298 (multiplicity 4)
W: 0.162 0.000 0.827 (multiplicity 4)

## Properties
formation energy = -1.64 eV per formula unit
E = -10.497 eV/atom

# 7
The following is a DFT calculation (PBE) of a geometry-optimized BaSeN3 structure.

Unit cell a=4.102 b=4.102 c=4.102 alpha=90.00 beta=90.00 gamma=90.00
Space group Pm-3m (No. 221)
One atom of each set of equivalent atoms:
Ba: 0.000 0.000 0.000 (multiplicity 1)
Se: 0.500 0.500 0.500 (multiplicity 1)
N: 0.000 0.500 0.500 (multiplicity 3)

## Properties
uncorrected formation energy = 4.96 eV/f.u.
E = -5.085 eV/atom

# 8
The following is a DFT calculation (PBE) of a geometry-optimized MgOs3 structure.

Unit cell a=3.892 b=3.892 c=15.571 alpha=90.00 beta=90.00 gamma=90.00
Space group I4/mmm (No. 139)
One atom of each set of equivalent atoms:
Mg: 0.000 0.000 0.124 (multiplicity 4)
Os: 0.000 0.000 0.376 (multiplicity 4)
Os: 0.000 0.500 0.000 (multiplicity 4)
Os: 0.000 0.500 0.250 (multiplicity 4)

## Properties
formation energy = 1.75 eV per formula unit
E = -8.384 eV/atom

# 9
The following is a DFT calculation (PBE) of a geometry-optimized CePdPt2 structure.

Unit cell a=6.717 b=6.717 c=6.717 alpha=90.00 beta=90.00 gamma=90.00
Space group Fm-3m (No. 225)
One atom of each set of equivalent atoms:
Ce: 0.000 0.000 0.000 (multiplicity 4)
Pd: 0.000 0.000 0.500 (multiplicity 4)
Pt: 0.250 0.250 0.250 (multiplicity 8)

## Properties
formation energy = -2.73 eV per formula unit
E = -6.484 eV/atom

# 10
The following is a DFT calculation (PBE) of a geometry-optimized Sm8Si2Os structure.

Unit cell a=19.030 b=4.845 c=6.765 alpha=90.00 beta=103.82 gamma=90.00
Space group C2/m (No. 12)
One atom of each set of equivalent atoms:
Sm: 0.024 0.000 0.289 (multiplicity 4)
Sm: 0.092 0.500 0.963 (multiplicity 4)
Sm: 0.155 0.500 0.493 (multiplicity 4)
Sm: 0.217 0.000 0.828 (multiplicity 4)
Si: 0.182 0.000 0.247 (multiplicity 4)
Os: 0.000 0.500 0.500 (multiplicity 2)

## Properties
uncorrected formation energy = -2.97 eV/f.u.
E = -5.709 eV/atom

# 11
The following is a DFT calculation (PBE) of a geometry-optimized HfIn2Au structure.

Unit cell a=4.396 b=4.396 c=4.295 alpha=90.00 beta=90.00 gamma=90.00
Space group P4/mmm (No. 123)
One atom of each set of equivalent atoms:
Hf: 0.000 0.000 0.000 (multiplicity 1)
In: 0.000 0.500 0.500 (multiplicity 2)
Au: 0.500 0.500 0.000 (multiplicity 1)

## Properties
formation energy = -0.93 eV per formula unit
E = -4.911 eV/atom

# 12
The following is a DFT calculation (PBE) of a geometry-optimized Mg6Cd2Ga structure.

Unit cell a=3.934 b=13.257 c=7.646 alpha=90.00 beta=90.00 gamma=90.00
Space group Amm2 (No. 38)
One atom of each set of equivalent atoms:
Mg: 0.000 0.000 0.000 (multiplicity 2)
Mg: 0.000 0.125 0.623 (multiplicity 4)
Mg: 0.500 0.000 0.360 (multiplicity 2)
Mg: 0.500 0.194 0.943 (multiplicity 4)
Cd: 0.000 0.167 0.249 (multiplicity 4)
Ga: 0.500 0.000 0.749 (multiplicity 2)

## Properties
formation energy = -0.70 eV per formula unit
E = -1.681 eV/atom